Entry a
## Ba2NaCd2 (PBE)

Data for a relaxed Ba2NaCd2 crystal.

Geometry as POSCAR:
```
Ba2NaCd2
1.0
-0.4529 6.7537 0.1055
-0.8860 0.0454 -6.7114
-5.3600 3.0754 -2.6859
Cd Na Ba
2 1 2
Cartesian
-2.0370 3.3051 -3.1230 Cd
-4.6618 6.5695 -6.1687 Cd
0.0000 0.0000 0.0000 Na
-3.2411 6.6144 -2.9417 Ba
-3.4577 3.2602 -6.3501 Ba
```



Entry b
## Ba2NaCd2 (PBE)

Data for a relaxed Ba2NaCd2 crystal.

Geometry as POSCAR:
```
Ba2NaCd2
1.0
-7.8673 4.8047 -1.4271
-0.4622 -3.3400 -8.6975
-2.5119 -3.6563 1.5375
Cd Ba Na
4 4 2
Cartesian
-1.1525 -0.6566 -3.4441 Cd
-4.9700 2.5846 -1.9733 Cd
-3.3594 -1.1199 -8.1513 Cd
-7.1769 2.1213 -6.6805 Cd
-6.8978 -1.3952 -7.4188 Ba
-2.8887 -3.2517 -5.2837 Ba
-7.9526 1.0601 -3.3033 Ba
-3.9434 -0.7964 -1.1682 Ba
0.0000 0.0000 0.0000 Na
-4.1647 0.7324 -5.0623 Na
```



Most stable structure: entry b



Entry a
## Ba2NaCd2 (PBE)

Data for a relaxed Ba2NaCd2 crystal.

Geometry as POSCAR:
```
Ba2NaCd2
1.0
4.5325 0.0000 0.0000
0.0000 4.5325 0.0000
2.2663 2.2663 10.5457
Na Cd Ba
1 2 2
Cartesian
0.0000 0.0000 0.0000 Na
4.5325 2.2663 5.2729 Cd
2.2663 4.5325 5.2729 Cd
2.2663 2.2663 2.4962 Ba
4.5325 4.5325 8.0495 Ba
```



Entry b
## Ba2NaCd2 (PBE)

Data for a relaxed Ba2NaCd2 crystal.

Geometry as POSCAR:
```
Ba2NaCd2
1.0
4.5839 0.0000 0.0000
0.0000 4.9115 -1.3963
0.0000 -0.0505 9.1586
Cd Ba Na
2 2 1
Cartesian
0.0000 3.8924 4.3554 Cd
0.0000 0.9685 3.4069 Cd
2.2919 1.7539 6.1696 Ba
2.2919 3.1070 1.5927 Ba
0.0000 0.0000 0.0000 Na
```



Most stable structure: entry b



Entry a
## Ba4Na3Cd (PBE)

Data for a relaxed Ba4Na3Cd crystal.

Geometry as POSCAR:
```
Ba4Na3Cd
1.0
4.6643 0.0000 0.0000
0.0000 5.8697 0.0000
0.0000 0.0000 14.1808
Na Ba Cd
3 4 1
Cartesian
0.0000 0.0000 6.0601 Na
2.3322 0.0000 13.2535 Na
0.0000 2.9348 8.0798 Na
0.0000 2.9348 12.3362 Ba
2.3322 0.0000 9.3792 Ba
2.3322 2.9348 4.6377 Ba
0.0000 0.0000 1.9862 Ba
2.3322 2.9348 0.9904 Cd
```



Entry b
## Ba4Na3Cd (PBE)

Data for a relaxed Ba4Na3Cd crystal.

Geometry as POSCAR:
```
Ba4Na3Cd
1.0
4.3477 0.0000 0.0000
0.0000 4.3477 0.0000
0.0000 0.0000 20.2292
Na Cd Ba
3 1 4
Cartesian
2.1738 2.1738 10.1146 Na
2.1738 2.1738 15.4670 Na
2.1738 2.1738 4.7622 Na
2.1738 2.1738 0.0000 Cd
0.0000 0.0000 2.0191 Ba
0.0000 0.0000 18.2101 Ba
0.0000 0.0000 7.4484 Ba
0.0000 0.0000 12.7808 Ba
```



Most stable structure: entry b